*i*
Density functional theory data (GGA-PBEsol) for a relaxed Cu5Pt7 crystal.

Unit cell a=7.922 b=2.708 c=8.095 alpha=90.00 beta=110.05 gamma=90.00
Space group Pm (No. 6)
Symmetry-distinct sites (fractional):
Cu1 0.000 0.000 0.000 (multiplicity 1)
Cu2 0.005 0.000 0.328 (multiplicity 1)
Cu3 0.511 0.000 0.167 (multiplicity 1)
Cu4 0.765 0.500 0.760 (multiplicity 1)
Cu5 0.774 0.500 0.090 (multiplicity 1)
Pt1 0.000 0.000 0.671 (multiplicity 1)
Pt2 0.245 0.500 0.245 (multiplicity 1)
Pt3 0.259 0.500 0.584 (multiplicity 1)
Pt4 0.262 0.500 0.924 (multiplicity 1)
Pt5 0.514 0.000 0.502 (multiplicity 1)
Pt6 0.533 0.000 0.853 (multiplicity 1)
Pt7 0.759 0.500 0.404 (multiplicity 1)

Mass density ... 17.1 g/cm3
Total moment ... 0.00 μB/f.u.

=====

*ii*
Density functional theory data (GGA-PBEsol) for a relaxed Cu5Pt7 crystal.

Unit cell a=5.342 b=5.969 c=6.027 alpha=72.80 beta=77.07 gamma=63.81
Space group P-1 (No. 2)
Symmetry-distinct sites (fractional):
Cu1 0.000 0.000 0.000 (multiplicity 1)
Cu2 0.334 0.665 0.335 (multiplicity 2)
Cu3 0.416 0.833 0.665 (multiplicity 2)
Pt1 0.087 0.159 0.336 (multiplicity 2)
Pt2 0.175 0.329 0.662 (multiplicity 2)
Pt3 0.253 0.503 0.999 (multiplicity 2)
Pt4 0.500 0.000 0.000 (multiplicity 1)

Mass density ... 17.1 g/cm3
Total moment ... 0.00 μB/f.u.

=====

*iii*
Density functional theory data (GGA-PBEsol) for a relaxed Cu5Pt7 crystal.

Unit cell a=4.628 b=5.384 c=6.578 alpha=90.48 beta=90.06 gamma=90.00
Space group P1 (No. 1)
Symmetry-distinct sites (fractional):
Cu1 0.000 0.000 0.000 (multiplicity 1)
Cu2 0.002 0.511 0.998 (multiplicity 1)
Cu3 0.167 0.752 0.336 (multiplicity 1)
Cu4 0.332 0.506 0.670 (multiplicity 1)
Cu5 0.835 0.754 0.670 (multiplicity 1)
Pt1 0.167 0.257 0.335 (multiplicity 1)
Pt2 0.327 0.992 0.670 (multiplicity 1)
Pt3 0.497 0.256 0.998 (multiplicity 1)
Pt4 0.499 0.752 0.000 (multiplicity 1)
Pt5 0.669 0.508 0.335 (multiplicity 1)
Pt6 0.674 0.000 0.335 (multiplicity 1)
Pt7 0.838 0.263 0.673 (multiplicity 1)

Mass density ... 17.1 g/cm3
Total moment ... 0.00 μB/f.u.

=====

Which one is most stable, and which one is least stable? *iii* is the most stable of them, while *i* is the least stable.

=====

*i*
Density functional theory data (GGA-PBEsol) for a relaxed Cu4Pt3 crystal.

Unit cell a=2.688 b=3.637 c=18.691 alpha=90.00 beta=90.00 gamma=90.00
Space group Imm2 (No. 44)
Symmetry-distinct sites (fractional):
Cu1 0.000 0.000 0.000 (multiplicity 2)
Cu2 0.000 0.000 0.133 (multiplicity 2)
Cu3 0.000 0.000 0.566 (multiplicity 2)
Cu4 0.000 0.000 0.857 (multiplicity 2)
Pt1 0.000 0.000 0.284 (multiplicity 2)
Pt2 0.000 0.000 0.430 (multiplicity 2)
Pt3 0.000 0.000 0.702 (multiplicity 2)

Mass density ... 15.3 g/cm3
Total moment ... 0.00 μB/f.u.

=====

*ii*
Density functional theory data (GGA-PBEsol) for a relaxed Cu4Pt3 crystal.

Unit cell a=6.9819 b=6.9819 c=6.5155 alpha=90.00 beta=90.00 gamma=120.00
Space group R3 (No. 146, hexagonal axes)
Symmetry-distinct sites (fractional):
Cu1 0.0000 0.0000 0.0000 (multiplicity 3)
Cu2 0.0463 0.2342 0.6716 (multiplicity 9)
Pt1 0.1424 0.7201 0.0033 (multiplicity 9)

Mass density ... 15.2 g/cm3
Total moment ... 0.00 μB/f.u.

=====

Which one is most stable, and which one is least stable? *ii* is the most stable of them, while *i* is the least stable.

=====

*i*
Density functional theory data (GGA-PBEsol) for a relaxed CuRu2Pt crystal.

Unit cell a=2.696 b=2.696 c=7.342 alpha=90.00 beta=90.00 gamma=90.00
Space group P4mm (No. 99)
Symmetry-distinct sites (fractional):
Cu1 0.000 0.000 0.000 (multiplicity 1)
Ru1 0.000 0.000 0.517 (multiplicity 1)
Ru2 0.500 0.500 0.751 (multiplicity 1)
Pt1 0.500 0.500 0.248 (multiplicity 1)

Mass density ... 14.3 g/cm3
Total moment ... 0.00 μB/f.u.

=====

*ii*
Density functional theory data (GGA-PBEsol) for a relaxed CuRu2Pt crystal.

Unit cell a=2.671 b=3.868 c=5.171 alpha=90.00 beta=90.00 gamma=90.00
Space group Pmmm (No. 47)
Symmetry-distinct sites (fractional):
Cu1 0.000 0.000 0.000 (multiplicity 1)
Ru1 0.500 0.500 0.238 (multiplicity 2)
Pt1 0.000 0.000 0.500 (multiplicity 1)

Mass density ... 14.3 g/cm3
Total moment ... 0.00 μB/f.u.

=====

*iii*
Density functional theory data (GGA-PBEsol) for a relaxed CuRu2Pt crystal.

Unit cell a=5.165 b=7.901 c=2.633 alpha=90.00 beta=90.00 gamma=90.00
Space group Cmmm (No. 65)
Symmetry-distinct sites (fractional):
Cu1 0.000 0.000 0.000 (multiplicity 2)
Ru1 0.250 0.250 0.500 (multiplicity 4)
Pt1 0.000 0.500 0.000 (multiplicity 2)

Mass density ... 14.2 g/cm3
Total moment ... 0.00 μB/f.u.

=====

*iv*
Density functional theory data (GGA-PBEsol) for a relaxed CuRu2Pt crystal.

Unit cell a=2.6713 b=2.6713 c=26.0178 alpha=90.00 beta=90.00 gamma=120.00
Space group R-3m (No. 166, hexagonal axes)
Symmetry-distinct sites (fractional):
Cu1 0.0000 0.0000 0.0000 (multiplicity 3)
Ru1 0.0000 0.0000 0.2525 (multiplicity 6)
Pt1 0.0000 0.0000 0.5000 (multiplicity 3)

Mass density ... 14.3 g/cm3
Total moment ... 0.00 μB/f.u.

=====

Which one is most stable, and which one is least stable? *i* is the most stable of them, while *iii* is the least stable.

=====

*i*
Density functional theory data (GGA-PBEsol) for a relaxed Cu2RuPt crystal.

Unit cell a=2.637 b=4.409 c=4.547 alpha=90.00 beta=90.00 gamma=90.00
Space group Pmmm (No. 47)
Symmetry-distinct sites (fractional):
Cu1 0.000 0.000 0.000 (multiplicity 1)
Cu2 0.500 0.000 0.500 (multiplicity 1)
Ru1 0.000 0.500 0.500 (multiplicity 1)
Pt1 0.500 0.500 0.000 (multiplicity 1)

Mass density ... 13.3 g/cm3
Total moment ... 0.00 μB/f.u.

=====

*ii*
Density functional theory data (GGA-PBEsol) for a relaxed Cu2RuPt crystal.

Unit cell a=2.636 b=3.767 c=5.224 alpha=90.00 beta=90.00 gamma=90.00
Space group Pmm2 (No. 25)
Symmetry-distinct sites (fractional):
Cu1 0.000 0.000 0.000 (multiplicity 1)
Cu2 0.500 0.500 0.230 (multiplicity 1)
Ru1 0.500 0.500 0.742 (multiplicity 1)
Pt1 0.000 0.000 0.496 (multiplicity 1)

Mass density ... 13.6 g/cm3
Total moment ... 0.01 μB/f.u.

=====

Which one is most stable, and which one is least stable? *ii* is the most stable of them, while *i* is the least stable.

=====

*i*
Density functional theory data (GGA-PBEsol) for a relaxed SrCuPt crystal.

Unit cell a=4.2517 b=4.2517 c=4.1703 alpha=90.00 beta=90.00 gamma=120.00
Space group P-6m2 (No. 187)
Symmetry-distinct sites (fractional):
Sr1 0.0000 0.0000 0.0000 (multiplicity 1)
Cu1 0.3333 0.6667 0.5000 (multiplicity 1)
Pt1 0.6667 0.3333 0.5000 (multiplicity 1)

Mass density ... 8.8 g/cm3
Total moment ... 0.00 μB/f.u.

=====

*ii*
Density functional theory data (GGA-PBEsol) for a relaxed SrCuPt crystal.

Unit cell a=3.093 b=3.818 c=10.075 alpha=90.00 beta=90.00 gamma=90.00
Space group Imm2 (No. 44)
Symmetry-distinct sites (fractional):
Sr1 0.000 0.000 0.000 (multiplicity 2)
Cu1 0.000 0.000 0.716 (multiplicity 2)
Pt1 0.000 0.000 0.296 (multiplicity 2)

Mass density ... 9.7 g/cm3
Total moment ... 0.00 μB/f.u.

=====

Which one is most stable, and which one is least stable? *i* is the most stable of them, while *ii* is the least stable.

=====

*i*
Density functional theory data (GGA-PBEsol) for a relaxed CuTe2Pt crystal.

Unit cell a=5.926 b=7.533 c=3.822 alpha=90.00 beta=90.00 gamma=90.00
Space group Cmmm (No. 65)
Symmetry-distinct sites (fractional):
Cu1 0.000 0.000 0.000 (multiplicity 2)
Te1 0.000 0.257 0.500 (multiplicity 4)
Pt1 0.000 0.500 0.000 (multiplicity 2)

Mass density ... 10.0 g/cm3
Total moment ... 0.00 μB/f.u.

=====

*ii*
Density functional theory data (GGA-PBEsol) for a relaxed CuTe2Pt crystal.

Unit cell a=6.834 b=3.975 c=6.645 alpha=90.00 beta=110.35 gamma=90.00
Space group Cm (No. 8)
Symmetry-distinct sites (fractional):
Cu1 0.000 0.000 0.000 (multiplicity 2)
Te1 0.274 0.000 0.817 (multiplicity 2)
Te2 0.469 0.000 0.410 (multiplicity 2)
Pt1 0.233 0.500 0.203 (multiplicity 2)

Mass density ... 10.1 g/cm3
Total moment ... 0.00 μB/f.u.

=====

Which one is most stable, and which one is least stable? *ii* is the most stable of them, while *i* is the least stable.

=====

*i*
Density functional theory data (GGA-PBEsol) for a relaxed Tl2CuPt crystal.

Unit cell a=6.655 b=6.655 c=6.655 alpha=90.00 beta=90.00 gamma=90.00
Space group Fm-3m (No. 225)
Symmetry-distinct sites (fractional):
Tl1 0.250 0.250 0.250 (multiplicity 8)
Cu1 0.000 0.000 0.000 (multiplicity 4)
Pt1 0.000 0.000 0.500 (multiplicity 4)

Mass density ... 15.0 g/cm3
Total moment ... 0.00 μB/f.u.

=====

*ii*
Density functional theory data (GGA-PBEsol) for a relaxed Tl2CuPt crystal.

Unit cell a=6.494 b=6.510 c=3.489 alpha=90.00 beta=90.00 gamma=90.00
Space group Cmmm (No. 65)
Symmetry-distinct sites (fractional):
Tl1 0.250 0.250 0.000 (multiplicity 4)
Cu1 0.000 0.000 0.500 (multiplicity 2)
Pt1 0.000 0.500 0.500 (multiplicity 2)

Mass density ... 15.0 g/cm3
Total moment ... 0.00 μB/f.u.

=====

*iii*
Density functional theory data (GGA-PBEsol) for a relaxed Tl2CuPt crystal.

Unit cell a=6.672 b=6.186 c=3.670 alpha=90.00 beta=97.84 gamma=90.00
Space group C2/m (No. 12)
Symmetry-distinct sites (fractional):
Tl1 0.250 0.250 0.000 (multiplicity 4)
Cu1 0.000 0.000 0.500 (multiplicity 2)
Pt1 0.000 0.500 0.500 (multiplicity 2)

Mass density ... 14.8 g/cm3
Total moment ... 0.00 μB/f.u.

=====

Which one is most stable, and which one is least stable? *i* is the most stable of them, while *ii* is the least stable.

=====

*i*
Density functional theory data (GGA-PBEsol) for a relaxed ZnCuPt crystal.

Unit cell a=2.758 b=3.626 c=7.960 alpha=90.00 beta=90.00 gamma=90.00
Space group Imm2 (No. 44)
Symmetry-distinct sites (fractional):
Zn1 0.000 0.000 0.000 (multiplicity 2)
Cu1 0.000 0.000 0.664 (multiplicity 2)
Pt1 0.000 0.000 0.332 (multiplicity 2)

Mass density ... 13.5 g/cm3
Total moment ... 0.00 μB/f.u.

=====

*ii*
Density functional theory data (GGA-PBEsol) for a relaxed ZnCuPt crystal.

Unit cell a=4.1044 b=4.1044 c=2.7179 alpha=90.00 beta=90.00 gamma=120.00
Space group P3m1 (No. 156)
Symmetry-distinct sites (fractional):
Zn1 0.0000 0.0000 0.0000 (multiplicity 1)
Cu1 0.3333 0.6667 0.0544 (multiplicity 1)
Pt1 0.6667 0.3333 0.5296 (multiplicity 1)

Mass density ... 13.6 g/cm3
Total moment ... 0.00 μB/f.u.

=====

Which one is most stable, and which one is least stable? *i* is the most stable of them, while *ii* is the least stable.